No. 1
Th2TlIn4 after structural relaxation, computed with PBE.

a = 6.591 Å, b = 6.591 Å, c = 6.674 Å
α = 119.55°, β = 119.55°, γ = 90.05°
Sites, in units of the cell vectors:
1 Tl 0.786 0.786 0.572
2 In 0.286 0.786 0.071
3 In 0.286 0.286 0.071
4 In 0.786 0.286 0.071
5 In 0.786 0.786 0.072
6 Th 0.786 0.286 0.571
7 Th 0.286 0.786 0.571

Output
Energy of formation: -0.141 eV per atom
Calculated total energy: -29.14 eV for the cell shown
Symmetry: Fmmm (69)
D(E_F): 0.617 states/eV per atom
Magnetization: 0.0 μB per formula unit



No. 2
Tb2MgIn8 after structural relaxation, computed with PBE.

a = 4.854 Å, b = 4.854 Å, c = 12.027 Å
α = 90.00°, β = 90.00°, γ = 90.00°
Sites, in units of the cell vectors:
1 In 0.500 0.000 0.134
2 In 0.500 0.000 0.866
3 In 0.500 0.500 0.686
4 In 0.000 0.500 0.866
5 In 0.500 0.500 0.314
6 In 0.500 0.000 0.500
7 In 0.000 0.500 0.134
8 In 0.000 0.500 0.500
9 Tb 0.000 0.000 0.314
10 Tb 0.000 0.000 0.686
11 Mg 0.000 0.000 0.000

Output
Energy of formation: -0.281 eV per atom
Calculated total energy: -35.85 eV for the cell shown
Symmetry: P4/mmm (123)
D(E_F): 0.440 states/eV per atom
Magnetization: 0.0 μB per formula unit



No. 3
BaPWCl2 after structural relaxation, computed with PBE.

a = 5.768 Å, b = 5.768 Å, c = 6.617 Å
α = 90.00°, β = 90.00°, γ = 90.00°
Last column: magnetic moment on the atom in μB.
Sites, in units of the cell vectors:
1 Cl 0.500 0.000 0.000  0.00
2 Cl 0.000 0.500 0.000  0.00
3 W 0.500 0.500 0.500  3.63
4 Ba 0.000 0.000 0.000  -0.03
5 P 0.000 0.000 0.500  -0.87

Output
Formation energy from raw total energies: 0.81 eV per atom
Energy above the most stable polymorph in this dataset: 1439 meV/atom
Calculated total energy: -19.95 eV for the cell shown
Symmetry: P4/mmm (123)
D(E_F): 1.948 states/eV per atom
Magnetization: 3.0 μB per formula unit



No. 4
NiRh4Cl after structural relaxation, computed with PBE.

a = 5.171 Å, b = 5.171 Å, c = 5.171 Å
α = 60.00°, β = 60.00°, γ = 60.00°
Last column: magnetic moment on the atom in μB.
Sites, in units of the cell vectors:
1 Rh 0.375 0.875 0.375  0.78
2 Rh 0.375 0.375 0.875  0.78
3 Rh 0.375 0.375 0.375  0.78
4 Rh 0.875 0.375 0.375  0.78
5 Ni 0.000 0.000 0.000  0.88
6 Cl 0.750 0.750 0.750  0.10

Output
Formation energy from raw total energies: 0.84 eV per atom
Calculated total energy: -31.97 eV for the cell shown
Symmetry: F-43m (216)
D(E_F): 1.987 states/eV per atom
Magnetization: 4.1 μB per formula unit



No. 5
MnInFe2 after structural relaxation, computed with PBE.

a = 5.454 Å, b = 4.884 Å, c = 2.735 Å
α = 83.32°, β = 72.95°, γ = 118.44°
Last column: magnetic moment on the atom in μB.
Sites, in units of the cell vectors:
1 Mn 0.500 0.500 0.000  3.17
2 In 0.000 0.500 0.500  -0.12
3 Fe 0.500 0.000 0.500  2.47
4 Fe 0.000 0.000 0.000  2.47

Output
Energy of formation: 0.337 eV per atom
Calculated total energy: -27.49 eV for the cell shown
Symmetry: C2/m (12)
D(E_F): 0.769 states/eV per atom
Magnetization: 8.0 μB per formula unit



No. 6
AlInFe2 after structural relaxation, computed with PBE.

a = 8.658 Å, b = 8.658 Å, c = 8.658 Å
α = 19.65°, β = 19.65°, γ = 19.65°
Last column: magnetic moment on the atom in μB.
Sites, in units of the cell vectors:
1 In 0.505 0.505 0.505  -0.06
2 Al 0.738 0.738 0.738  -0.03
3 Fe 0.262 0.262 0.262  2.66
4 Fe 0.995 0.995 0.995  2.36

Output
Energy of formation: 0.226 eV per atom
Calculated total energy: -22.50 eV for the cell shown
Symmetry: R3m (160)
D(E_F): 0.479 states/eV per atom
Magnetization: 4.8 μB per formula unit



No. 7
Be2GaIr3 after structural relaxation, computed with PBE.

a = 2.887 Å, b = 2.887 Å, c = 8.735 Å
α = 90.00°, β = 90.00°, γ = 90.00°
Sites, in units of the cell vectors:
1 Ir 0.000 0.000 0.000
2 Ir 0.000 0.000 0.316
3 Ir 0.000 0.000 0.684
4 Ga 0.500 0.500 0.500
5 Be 0.500 0.500 0.155
6 Be 0.500 0.500 0.845

Output
Energy of formation: -0.498 eV per atom
Calculated total energy: -40.05 eV for the cell shown
Symmetry: P4/mmm (123)
D(E_F): 0.846 states/eV per atom
Magnetization: 0.0 μB per formula unit



No. 8
CaCdCoCl2 after structural relaxation, computed with PBE.

a = 5.098 Å, b = 7.446 Å, c = 5.098 Å
α = 90.00°, β = 90.00°, γ = 90.00°
Last column: magnetic moment on the atom in μB.
Sites, in units of the cell vectors:
1 Cl 0.000 0.000 0.500  0.00
2 Cl 0.500 0.000 0.000  0.00
3 Ca 0.000 0.000 0.000  0.00
4 Cd 0.000 0.500 0.000  0.01
5 Co 0.500 0.500 0.500  2.30

Output
Formation energy from raw total energies: -0.26 eV per atom
Calculated total energy: -15.03 eV for the cell shown
Symmetry: P4/mmm (123)
D(E_F): 0.611 states/eV per atom
Magnetization: 2.5 μB per formula unit



No. 9
Y3Ga3Ni2 after structural relaxation, computed with PBE.

a = 5.551 Å, b = 7.842 Å, c = 14.583 Å
α = 90.00°, β = 90.00°, γ = 90.00°
Sites, in units of the cell vectors:
1 Ni 0.880 0.100 0.104
2 Ni 0.120 0.900 0.604
3 Ni 0.620 0.600 0.396
4 Ni 0.380 0.400 0.896
5 Ni 0.120 0.900 0.896
6 Ni 0.620 0.600 0.104
7 Ni 0.380 0.400 0.604
8 Ni 0.880 0.100 0.396
9 Y 0.625 0.041 0.891
10 Y 0.631 0.314 0.250
11 Y 0.869 0.814 0.250
12 Y 0.875 0.541 0.891
13 Y 0.875 0.541 0.609
14 Y 0.375 0.959 0.391
15 Y 0.125 0.459 0.109
16 Y 0.131 0.186 0.750
17 Y 0.369 0.686 0.750
18 Y 0.375 0.959 0.109
19 Y 0.125 0.459 0.391
20 Y 0.625 0.041 0.609
21 Ga 0.617 0.315 0.039
22 Ga 0.115 0.163 0.250
23 Ga 0.383 0.685 0.961
24 Ga 0.383 0.685 0.539
25 Ga 0.385 0.663 0.250
26 Ga 0.117 0.185 0.539
27 Ga 0.883 0.815 0.461
28 Ga 0.117 0.185 0.961
29 Ga 0.885 0.837 0.750
30 Ga 0.617 0.315 0.461
31 Ga 0.615 0.337 0.750
32 Ga 0.883 0.815 0.039

Output
Energy of formation: -0.614 eV per atom
Calculated total energy: -179.80 eV for the cell shown
Symmetry: Pnma (62)
D(E_F): 0.883 states/eV per atom
Magnetization: 0.0 μB per formula unit



No. 10
PrMg10Ag2 after structural relaxation, computed with PBE.

a = 5.698 Å, b = 7.745 Å, c = 7.743 Å
α = 82.22°, β = 68.41°, γ = 68.42°
Sites, in units of the cell vectors:
1 Mg 0.714 0.779 0.794
2 Mg 0.500 0.000 0.500
3 Mg 0.012 0.640 0.336
4 Mg 0.508 0.779 0.206
5 Mg 0.652 0.360 0.336
6 Mg 0.988 0.360 0.664
7 Mg 0.000 0.000 0.500
8 Mg 0.286 0.221 0.206
9 Mg 0.348 0.640 0.664
10 Mg 0.492 0.221 0.794
11 Ag 0.500 0.500 0.000
12 Ag 0.000 0.500 0.000
13 Pr 0.000 0.000 0.000

Output
Energy of formation: -0.125 eV per atom
Calculated total energy: -28.05 eV for the cell shown
Symmetry: Fmmm (69)
D(E_F): 0.475 states/eV per atom
Magnetization: 0.0 μB per formula unit



No. 11
K2LaCl after structural relaxation, computed with PBE.

a = 6.623 Å, b = 6.623 Å, c = 4.144 Å
α = 90.00°, β = 90.00°, γ = 90.00°
Last column: magnetic moment on the atom in μB.
Sites, in units of the cell vectors:
1 Cl 0.000 0.500 0.500  0.03
2 K 0.000 0.000 0.000  0.04
3 K 0.500 0.500 0.000  0.04
4 La 0.500 0.000 0.500  0.81

Output
Formation energy from raw total energies: -0.08 eV per atom
Energy above the most stable polymorph in this dataset: 611 meV/atom
Calculated total energy: -9.30 eV for the cell shown
Symmetry: P4/mmm (123)
D(E_F): 1.092 states/eV per atom
Magnetization: 2.6 μB per formula unit



No. 12
NaNb3O8 after structural relaxation, computed with PBE.

a = 3.831 Å, b = 8.940 Å, c = 10.484 Å
α = 90.00°, β = 90.00°, γ = 90.00°
Sites, in units of the cell vectors:
1 O 0.500 0.673 0.126
2 O 0.000 0.827 0.874
3 O 0.500 0.327 0.126
4 O 0.000 0.500 0.842
5 O 0.500 0.343 0.405
6 O 0.500 0.000 0.424
7 O 0.000 0.843 0.595
8 O 0.500 0.657 0.405
9 O 0.000 0.500 0.576
10 O 0.000 0.157 0.595
11 O 0.000 0.161 0.305
12 O 0.500 0.339 0.695
13 O 0.000 0.839 0.305
14 O 0.500 0.000 0.158
15 O 0.500 0.661 0.695
16 O 0.000 0.173 0.874
17 Nb 0.000 0.000 0.482
18 Nb 0.500 0.500 0.518
19 Nb 0.000 0.693 0.748
20 Nb 0.500 0.807 0.252
21 Nb 0.000 0.307 0.748
22 Nb 0.500 0.193 0.252
23 Na 0.000 0.500 0.067
24 Na 0.500 0.000 0.933

Output
Formation energy from raw total energies: -2.51 eV per atom
Energy above the most stable polymorph in this dataset: 0 meV/atom
Calculated total energy: -202.52 eV for the cell shown
Symmetry: Pmmn (59)
D(E_F): 0.000 states/eV per atom
Magnetization: 0.0 μB per formula unit



No. 13
LaZrSe2 after structural relaxation, computed with PBE.

a = 6.298 Å, b = 6.298 Å, c = 4.273 Å
α = 90.00°, β = 90.00°, γ = 35.72°
Sites, in units of the cell vectors:
1 Se 0.983 0.983 0.125
2 Se 0.750 0.750 0.625
3 Zr 0.527 0.527 0.625
4 La 0.241 0.241 0.125

Output
Formation energy from raw total energies: -1.31 eV per atom
Energy above the most stable polymorph in this dataset: 202 meV/atom
Calculated total energy: -25.69 eV for the cell shown
Symmetry: Amm2 (38)
D(E_F): 0.715 states/eV per atom
Magnetization: 0.0 μB per formula unit



No. 14
ZnCr3Ge after structural relaxation, computed with PBE.

a = 4.668 Å, b = 4.668 Å, c = 4.668 Å
α = 90.00°, β = 90.00°, γ = 90.00°
Last column: magnetic moment on the atom in μB.
Sites, in units of the cell vectors:
1 Cr 0.000 0.500 0.000  3.27
2 Cr 0.000 0.000 0.500  3.63
3 Cr 0.500 0.000 0.000  2.92
4 Zn 0.500 0.500 0.500  -0.11
5 Ge 0.000 0.000 0.000  -0.18

Output
Energy above the most stable polymorph in this dataset: 0 meV/atom
Energy of formation: 1.036 eV per atom
Calculated total energy: -29.58 eV for the cell shown
Symmetry: Pm-3m (221)
D(E_F): 0.975 states/eV per atom
Magnetization: 10.3 μB per formula unit



No. 15
InAg3Br after structural relaxation, computed with PBE.

a = 5.263 Å, b = 5.263 Å, c = 5.263 Å
α = 90.00°, β = 90.00°, γ = 90.00°
Sites, in units of the cell vectors:
1 Ag 0.000 0.500 0.000
2 Ag 0.000 0.000 0.500
3 Ag 0.500 0.000 0.000
4 In 0.500 0.500 0.500
5 Br 0.000 0.000 0.000

Output
Formation energy from raw total energies: 0.58 eV per atom
Energy above the most stable polymorph in this dataset: 55 meV/atom
Calculated total energy: -10.07 eV for the cell shown
Symmetry: Pm-3m (221)
D(E_F): 0.801 states/eV per atom
Magnetization: 0.0 μB per formula unit



No. 16
ScFeTc2 after structural relaxation, computed with PBE.

a = 4.425 Å, b = 3.705 Å, c = 3.705 Å
α = 90.00°, β = 90.00°, γ = 90.00°
Last column: magnetic moment on the atom in μB.
Sites, in units of the cell vectors:
1 Fe 0.500 0.500 0.000  2.08
2 Tc 0.000 0.000 0.000  0.12
3 Tc 0.000 0.500 0.500  0.12
4 Sc 0.500 0.000 0.500  -0.15

Output
Energy above the most stable polymorph in this dataset: 179 meV/atom
Energy of formation: 0.134 eV per atom
Calculated total energy: -34.99 eV for the cell shown
Symmetry: P4/mmm (123)
D(E_F): 1.323 states/eV per atom
Magnetization: 2.1 μB per formula unit



No. 17
AlH2Ir2 after structural relaxation, computed with PBE.

a = 6.293 Å, b = 6.293 Å, c = 3.051 Å
α = 90.00°, β = 90.00°, γ = 90.00°
Sites, in units of the cell vectors:
1 Al 0.500 0.500 0.000
2 Al 0.000 0.000 0.000
3 Ir 0.143 0.357 0.000
4 Ir 0.857 0.643 0.000
5 Ir 0.643 0.143 0.000
6 Ir 0.357 0.857 0.000
7 H 0.232 0.268 0.500
8 H 0.768 0.732 0.500
9 H 0.732 0.232 0.500
10 H 0.268 0.768 0.500

Output
Energy above the most stable polymorph in this dataset: 352 meV/atom
Calculated total energy: -54.57 eV for the cell shown
Symmetry: P4/mbm (127)
D(E_F): 0.234 states/eV per atom
Magnetization: 0.0 μB per formula unit



No. 18
Re2HgTe after structural relaxation, computed with PBE.

a = 6.299 Å, b = 6.299 Å, c = 6.299 Å
α = 152.26°, β = 135.72°, γ = 53.06°
Sites, in units of the cell vectors:
1 Hg 0.747 0.247 0.500
2 Re 0.058 0.058 0.000
3 Re 0.235 0.735 0.500
4 Te 0.460 0.460 0.000

Output
Formation energy from raw total energies: 0.87 eV per atom
Energy above the most stable polymorph in this dataset: 502 meV/atom
Calculated total energy: -24.87 eV for the cell shown
Symmetry: Imm2 (44)
D(E_F): 0.890 states/eV per atom
Magnetization: 0.0 μB per formula unit



No. 19
K4LiSc after structural relaxation, computed with PBE.

a = 7.668 Å, b = 7.668 Å, c = 7.668 Å
α = 60.00°, β = 60.00°, γ = 60.00°
Last column: magnetic moment on the atom in μB.
Sites, in units of the cell vectors:
1 K 0.375 0.375 0.375  0.01
2 K 0.375 0.875 0.375  0.01
3 K 0.875 0.375 0.375  0.01
4 K 0.375 0.375 0.875  0.01
5 Sc 0.000 0.000 0.000  0.81
6 Li 0.750 0.750 0.750  0.00

Output
Energy of formation: 0.597 eV per atom
Calculated total energy: -9.05 eV for the cell shown
Symmetry: F-43m (216)
D(E_F): 1.470 states/eV per atom
Magnetization: 1.5 μB per formula unit



No. 20
SrRe2Te after structural relaxation, computed with PBE.

a = 6.037 Å, b = 6.037 Å, c = 5.892 Å
α = 63.14°, β = 63.14°, γ = 35.01°
Sites, in units of the cell vectors:
1 Te 0.750 0.750 0.750
2 Re 0.467 0.467 0.664
3 Re 0.033 0.033 0.836
4 Sr 0.250 0.250 0.250

Output
Formation energy from raw total energies: 0.52 eV per atom
Calculated total energy: -27.63 eV for the cell shown
Symmetry: C2/m (12)
D(E_F): 0.545 states/eV per atom
Magnetization: 0.0 μB per formula unit



No. 21
LaCe3Pa2N6 after structural relaxation, computed with PBE.

a = 6.194 Å, b = 6.194 Å, c = 6.187 Å
α = 99.63°, β = 99.63°, γ = 119.90°
Sites, in units of the cell vectors:
1 Pa 0.333 0.667 0.000
2 Pa 0.667 0.333 0.000
3 N 0.079 0.438 0.236
4 N 0.438 0.079 0.236
5 N 0.717 0.717 0.231
6 N 0.283 0.283 0.769
7 N 0.921 0.562 0.764
8 N 0.562 0.921 0.764
9 La 0.000 0.000 0.000
10 Ce 0.835 0.165 0.500
11 Ce 0.165 0.835 0.500
12 Ce 0.500 0.500 0.500

Output
Formation energy from raw total energies: -1.55 eV per atom
Calculated total energy: -110.27 eV for the cell shown
Symmetry: C2/m (12)
D(E_F): 0.945 states/eV per atom
Magnetization: 0.0 μB per formula unit



No. 22
TlCo2As after structural relaxation, computed with PBE.

a = 6.669 Å, b = 6.669 Å, c = 6.669 Å
α = 149.69°, β = 154.44°, γ = 40.05°
Last column: magnetic moment on the atom in μB.
Sites, in units of the cell vectors:
1 Co 0.758 0.258 0.500  0.34
2 Co 0.085 0.085 0.000  0.67
3 Tl 0.451 0.451 0.000  -0.01
4 As 0.206 0.706 0.500  -0.01

Output
Energy above the most stable polymorph in this dataset: 33 meV/atom
Energy of formation: 0.192 eV per atom
Calculated total energy: -20.46 eV for the cell shown
Symmetry: Imm2 (44)
D(E_F): 0.803 states/eV per atom
Magnetization: 0.9 μB per formula unit



No. 23
K2AcPt9 after structural relaxation, computed with PBE.

a = 5.537 Å, b = 5.537 Å, c = 9.525 Å
α = 73.10°, β = 73.10°, γ = 60.00°
Sites, in units of the cell vectors:
1 Pt 0.582 0.582 0.755
2 Pt 0.332 0.332 0.003
3 Pt 0.418 0.418 0.245
4 Pt 0.582 0.082 0.755
5 Pt 0.668 0.668 0.997
6 Pt 0.918 0.418 0.245
7 Pt 0.500 0.500 0.500
8 Pt 0.082 0.582 0.755
9 Pt 0.418 0.918 0.245
10 Ac 0.000 0.000 0.000
11 K 0.145 0.145 0.565
12 K 0.855 0.855 0.435

Output
Energy of formation: -0.454 eV per atom
Calculated total energy: -66.12 eV for the cell shown
Symmetry: R-3m (166)
D(E_F): 0.618 states/eV per atom
Magnetization: 0.0 μB per formula unit



No. 24
Li2PrSm2Sb2 after structural relaxation, computed with PBE.

a = 4.784 Å, b = 4.784 Å, c = 9.618 Å
α = 75.60°, β = 75.60°, γ = 60.00°
Sites, in units of the cell vectors:
1 Sm 0.131 0.131 0.608
2 Sm 0.869 0.869 0.392
3 Li 0.592 0.592 0.225
4 Li 0.408 0.408 0.775
5 Sb 0.738 0.738 0.787
6 Sb 0.262 0.262 0.213
7 Pr 0.000 0.000 0.000

Output
Formation energy from raw total energies: -0.61 eV per atom
Calculated total energy: -30.54 eV for the cell shown
Symmetry: R-3m (166)
D(E_F): 0.768 states/eV per atom
Magnetization: 0.0 μB per formula unit